[1]
{
  "formula": "Tl2TcSb",
  "functional": "GGA-PBEsol",
  "state": "optimized geometry",
  "lattice_angstrom": [[3.1434, 0.0000, 0.0000], [0.0000, 3.1434, 0.0000], [0.0000, 0.0000, 9.0700]],
  "species": ["Sb", "Tc", "Tl", "Tl"],
  "fractional_positions": [[0.5000, 0.5000, 0.0000], [0.5000, 0.5000, 0.5000], [0.0000, 0.0000, 0.7068], [0.0000, 0.0000, 0.2932]],
  "magnetic_moment_mub_per_cell": 1.74,
  "total_energy_ev_per_fu": -18.5,
  "relative_energy_mev_per_atom": 353.3,
  "formation_energy_uncorrected_ev_per_fu": 2.61
}



[2]
{
  "formula": "TcSbW2",
  "functional": "GGA-PBEsol",
  "state": "optimized geometry",
  "lattice_angstrom": [[-1.8872, 2.1749, 0.4655], [-1.0498, -1.7411, 3.8786], [4.2051, 2.2302, 2.1393]],
  "species": ["Sb", "Tc", "W", "W"],
  "fractional_positions": [[0.3595, 0.0000, 0.4945], [0.3618, 0.5000, 0.7760], [0.0014, 0.0000, 0.9862], [0.7774, 0.5000, 0.2432]],
  "magnetic_moment_mub_per_cell": 0.00,
  "total_energy_ev_per_fu": -41.6,
  "formation_energy_uncorrected_ev_per_fu": 1.80
}



[3]
{
  "formula": "TcSbW2",
  "functional": "GGA-PBEsol",
  "state": "optimized geometry",
  "lattice_angstrom": [[-2.3647, 0.1769, -1.9922], [0.8051, -4.4923, -1.3546], [-1.8060, -0.3581, 4.5194]],
  "species": ["Sb", "Tc", "W", "W"],
  "fractional_positions": [[0.4982, 0.5185, 0.9965], [0.7399, 0.2052, 0.4798], [0.0059, 0.0337, 0.0118], [0.2560, 0.7426, 0.5119]],
  "magnetic_moment_mub_per_cell": 0.00,
  "total_energy_ev_per_fu": -41.7,
  "formation_energy_uncorrected_ev_per_fu": 1.76
}